# 1
A relaxed structure of SrHfOs2, computed with PBE.

Lattice parameters (Å, degrees): 4.773 4.773 4.773 60.00 60.00 60.00
Element x y z (fractional)
Hf (0.500, 0.500, 0.500)
Os (0.250, 0.250, 0.250)
Sr (0.000, 0.000, 0.000)
Os (0.750, 0.750, 0.750)

**Energy of formation**: 0.47 eV per atom
**Space-group type**: Fm-3m (225)
**E above lowest polymorph**: 0.000 eV/atom


# 2
A relaxed structure of SrHf2Os, computed with PBE.

Lattice parameters (Å, degrees): 5.654 5.654 9.398 72.49 72.49 90.00
Element x y z (fractional)
Os (0.750, 0.250, 0.500)
Sr (0.250, 0.750, 0.500)
Hf (0.375, 0.125, 0.750)
Hf (0.875, 0.625, 0.250)
Sr (0.500, 0.500, 0.000)
Hf (0.875, 0.125, 0.250)
Hf (0.875, 0.125, 0.750)
Os (0.000, 0.000, 0.000)

**Energy of formation**: 0.94 eV per atom
**Space-group type**: I4_1/amd (141)
**E above lowest polymorph**: 0.533 eV/atom


# 3
A relaxed structure of SrHf3Os, computed with PBE.

Lattice parameters (Å, degrees): 4.892 4.892 4.892 90.00 90.00 90.00
Element x y z (fractional)
Sr (0.000, 0.000, 0.000)
Hf (0.500, 0.000, 0.000)
Hf (0.000, 0.000, 0.500)
Hf (0.000, 0.500, 0.000)
Os (0.500, 0.500, 0.500)

**Energy of formation**: 2.53 eV per atom
**Space-group type**: Pm-3m (221)
**E above lowest polymorph**: 2.265 eV/atom


# 4
A relaxed structure of SrHfTe2Os, computed with PBE.

Lattice parameters (Å, degrees): 5.797 5.981 5.797 90.00 90.00 90.00
Element x y z (fractional)
Te (0.500, 0.000, 0.000)
Te (0.000, 0.000, 0.500)
Os (0.500, 0.500, 0.500)
Sr (0.000, 0.000, 0.000)
Hf (0.000, 0.500, 0.000)

**E_form (uncorrected)**: 2.178 eV per atom
**Space-group type**: P4/mmm (123)


# 5
A relaxed structure of SrHf2TlOs, computed with PBE.

Lattice parameters (Å, degrees): 5.092 5.410 5.092 90.00 90.00 90.00
Element x y z (fractional)
Tl (0.000, 0.500, 0.000)
Hf (0.000, 0.000, 0.500)
Hf (0.500, 0.000, 0.000)
Os (0.000, 0.000, 0.000)
Sr (0.500, 0.500, 0.500)

**Energy of formation**: 0.32 eV per atom
**Space-group type**: P4/mmm (123)


# 6
A relaxed structure of Hf2TaOs, computed with PBE.

Lattice parameters (Å, degrees): 3.265 4.749 4.749 90.00 90.00 90.00
Element x y z (fractional)
Os (0.500, 0.000, 0.000)
Hf (0.000, 0.000, 0.500)
Ta (0.500, 0.500, 0.500)
Hf (0.000, 0.500, 0.000)

**Energy of formation**: -0.21 eV per atom
**Space-group type**: P4/mmm (123)


# 7
A relaxed structure of HfTa2Os3, computed with PBE.

Lattice parameters (Å, degrees): 3.236 3.236 9.481 90.00 90.00 90.00
Element x y z (fractional)
Os (0.000, 0.000, 0.000)
Os (0.000, 0.000, 0.672)
Hf (0.500, 0.500, 0.500)
Ta (0.500, 0.500, 0.163)
Os (0.000, 0.000, 0.328)
Ta (0.500, 0.500, 0.837)

**Energy of formation**: -0.37 eV per atom
**Space-group type**: P4/mmm (123)


# 8
A relaxed structure of HfTa5Os6, computed with PBE.

Lattice parameters (Å, degrees): 4.394 7.700 7.700 116.25 106.58 106.58
Element x y z (fractional)
Ta (0.500, 0.177, 0.823)
Ta (0.000, 0.654, 0.346)
Os (0.761, 0.930, 0.593)
Os (0.239, 0.407, 0.070)
Os (0.239, 0.070, 0.407)
Ta (0.000, 0.346, 0.654)
Os (0.733, 0.233, 0.233)
Ta (0.500, 0.823, 0.177)
Os (0.761, 0.593, 0.930)
Ta (0.500, 0.500, 0.500)
Hf (0.000, 0.000, 0.000)
Os (0.267, 0.767, 0.767)

**Energy of formation**: -0.33 eV per atom
**Space-group type**: Immm (71)


# 9
A relaxed structure of HfTaOs, computed with PBE.

Lattice parameters (Å, degrees): 4.449 4.449 4.448 89.95 120.03 120.04
Element x y z (fractional)
Ta (0.944, 0.972, 0.917)
Os (0.444, 0.222, 0.667)
Hf (0.944, 0.472, 0.417)

**Energy of formation**: -0.10 eV per atom
**Space-group type**: F-43m (216)
**E above lowest polymorph**: 0.299 eV/atom


# 10
A relaxed structure of Hf2TaOs, computed with PBE.

Lattice parameters (Å, degrees): 3.245 3.245 7.091 90.00 90.00 90.00
Element x y z (fractional)
Hf (0.000, 0.000, 0.229)
Hf (0.000, 0.000, 0.771)
Os (0.500, 0.500, 0.000)
Ta (0.500, 0.500, 0.500)

**Energy of formation**: -0.28 eV per atom
**Space-group type**: P4/mmm (123)


# 11
A relaxed structure of HfTaOs2, computed with PBE.

Lattice parameters (Å, degrees): 7.155 7.155 5.808 51.98 51.98 90.00
Element x y z (fractional)
Os (0.109, 0.625, 0.250)
Os (0.875, 0.891, 0.750)
Os (0.641, 0.125, 0.250)
Ta (0.750, 0.250, 0.500)
Hf (0.250, 0.750, 0.500)
Os (0.375, 0.359, 0.750)
Hf (0.500, 0.500, 0.000)
Ta (0.000, 0.000, 0.000)

**Energy of formation**: 0.36 eV per atom
**Space-group type**: I-42d (122)


# 12
A relaxed structure of HfTaOs2, computed with PBE.

Lattice parameters (Å, degrees): 3.332 4.483 8.953 90.00 90.00 90.00
Element x y z (fractional)
Os (0.000, 0.250, 0.120)
Os (0.000, 0.250, 0.630)
Hf (0.500, 0.250, 0.373)
Ta (0.500, 0.250, 0.878)
Os (0.000, 0.750, 0.880)
Os (0.000, 0.750, 0.370)
Hf (0.500, 0.750, 0.627)
Ta (0.500, 0.750, 0.122)

**Energy of formation**: -0.46 eV per atom
**Space-group type**: Pmma (51)


# 13
A relaxed structure of Hf5TaOs4, computed with PBE.

Lattice parameters (Å, degrees): 3.248 3.248 16.837 90.00 90.00 90.00
Element x y z (fractional)
Os (0.000, 0.000, 0.791)
Os (0.000, 0.000, 0.403)
Hf (0.500, 0.500, 0.112)
Hf (0.500, 0.500, 0.694)
Os (0.000, 0.000, 0.209)
Hf (0.500, 0.500, 0.306)
Hf (0.500, 0.500, 0.500)
Hf (0.500, 0.500, 0.888)
Ta (0.000, 0.000, 0.000)
Os (0.000, 0.000, 0.597)

**Energy of formation**: -0.54 eV per atom
**Space-group type**: P4/mmm (123)


# 14
A relaxed structure of HfTaOs2, computed with PBE.

Lattice parameters (Å, degrees): 5.883 5.883 5.883 57.48 151.85 130.98
Element x y z (fractional)
Hf (0.000, 0.000, 0.000)
Os (0.000, 0.735, 0.735)
Os (0.000, 0.265, 0.265)
Ta (0.000, 0.500, 0.500)

**Energy of formation**: 0.67 eV per atom
**Space-group type**: Immm (71)


# 15
A relaxed structure of HfTaOs, computed with PBE.

Lattice parameters (Å, degrees): 3.215 3.215 5.615 106.63 106.63 90.00
Element x y z (fractional)
Hf (0.610, 0.610, 0.220)
Ta (0.294, 0.294, 0.589)
Os (0.946, 0.946, 0.891)

**Energy of formation**: -0.40 eV per atom
**Space-group type**: I4mm (107)
**E above lowest polymorph**: 0.000 eV/atom


# 16
A relaxed structure of Hf3TaOs2, computed with PBE.

Lattice parameters (Å, degrees): 3.250 3.250 10.314 90.00 90.00 90.00
Element x y z (fractional)
Ta (0.500, 0.500, 0.500)
Os (0.500, 0.500, 0.842)
Hf (0.000, 0.000, 0.684)
Hf (0.000, 0.000, 0.316)
Os (0.500, 0.500, 0.158)
Hf (0.000, 0.000, 0.000)

**Energy of formation**: -0.43 eV per atom
**Space-group type**: P4/mmm (123)


# 17
A relaxed structure of HfTaOs2, computed with PBE.

Lattice parameters (Å, degrees): 3.151 3.151 6.736 90.00 90.00 90.00
Element x y z (fractional)
Os (0.000, 0.000, 0.742)
Hf (0.500, 0.500, 0.000)
Ta (0.500, 0.500, 0.500)
Os (0.000, 0.000, 0.258)

**Energy of formation**: -0.46 eV per atom
**Space-group type**: P4/mmm (123)


# 18
A relaxed structure of HfTaOs3, computed with PBE.

Lattice parameters (Å, degrees): 4.701 4.701 4.701 90.00 90.00 90.00
Element x y z (fractional)
Os (0.500, 0.000, 0.000)
Hf (0.500, 0.500, 0.500)
Os (0.000, 0.500, 0.000)
Ta (0.000, 0.000, 0.000)
Os (0.000, 0.000, 0.500)

**Energy of formation**: 1.54 eV per atom
**Space-group type**: Pm-3m (221)
**E above lowest polymorph**: 0.000 eV/atom


# 19
A relaxed structure of Hf2TaOs, computed with PBE.

Lattice parameters (Å, degrees): 7.606 7.606 6.066 51.18 51.18 90.00
Element x y z (fractional)
Os (0.750, 0.250, 0.500)
Ta (0.250, 0.750, 0.500)
Hf (0.375, 0.339, 0.750)
Hf (0.875, 0.911, 0.750)
Hf (0.089, 0.625, 0.250)
Hf (0.661, 0.125, 0.250)
Ta (0.500, 0.500, 0.000)
Os (0.000, 0.000, 0.000)

**Energy of formation**: 0.35 eV per atom
**Space-group type**: I-42d (122)


# 20
A relaxed structure of Hf3TaOs4, computed with PBE.

Lattice parameters (Å, degrees): 3.242 3.242 12.900 90.00 90.00 90.00
Element x y z (fractional)
Hf (0.500, 0.500, 0.752)
Os (0.000, 0.000, 0.626)
Ta (0.500, 0.500, 0.000)
Os (0.000, 0.000, 0.120)
Hf (0.500, 0.500, 0.248)
Os (0.000, 0.000, 0.374)
Os (0.000, 0.000, 0.880)
Hf (0.500, 0.500, 0.500)

**Energy of formation**: -0.58 eV per atom
**Space-group type**: P4/mmm (123)


# 21
A relaxed structure of TbHfOs2, computed with PBE.

Lattice parameters (Å, degrees): 4.707 4.707 4.707 60.00 60.00 60.00
Element x y z (fractional)
Os (0.750, 0.750, 0.750)
Os (0.250, 0.250, 0.250)
Tb (0.000, 0.000, 0.000)
Hf (0.500, 0.500, 0.500)

**Energy of formation**: -0.32 eV per atom
**Space-group type**: Fm-3m (225)
**E above lowest polymorph**: 0.044 eV/atom


# 22
A relaxed structure of TbHfOs2, computed with PBE.

Lattice parameters (Å, degrees): 3.310 3.310 6.782 90.00 90.00 90.00
Element x y z (fractional)
Os (0.000, 0.000, 0.229)
Hf (0.500, 0.500, 0.000)
Tb (0.500, 0.500, 0.500)
Os (0.000, 0.000, 0.771)

**Energy of formation**: -0.36 eV per atom
**Space-group type**: P4/mmm (123)
**E above lowest polymorph**: 0.000 eV/atom


# 23
A relaxed structure of TbHfOs4, computed with PBE.

Lattice parameters (Å, degrees): 5.295 5.295 5.295 60.00 60.00 60.00
Element x y z (fractional)
Os (0.124, 0.625, 0.625)
Tb (0.250, 0.250, 0.250)
Os (0.625, 0.625, 0.625)
Os (0.625, 0.625, 0.124)
Os (0.625, 0.124, 0.625)
Hf (0.000, 0.000, 0.000)

**Energy of formation**: -0.27 eV per atom
**Space-group type**: F-43m (216)


# 24
A relaxed structure of TbHfZnOs, computed with PBE.

Lattice parameters (Å, degrees): 4.784 4.784 4.784 60.00 60.00 60.00
Element x y z (fractional)
Os (0.500, 0.500, 0.500)
Zn (0.000, 0.000, 0.000)
Tb (0.750, 0.750, 0.750)
Hf (0.250, 0.250, 0.250)

**Energy of formation**: -0.27 eV per atom
**Space-group type**: F-43m (216)


# 25
A relaxed structure of Hf6TcOs5, computed with PBE.

Lattice parameters (Å, degrees): 4.602 6.504 7.280 90.00 71.58 90.00
Element x y z (fractional)
Os (0.667, 0.500, 0.666)
Tc (0.000, 0.000, 0.000)
Hf (0.834, 0.249, 0.332)
Hf (0.166, 0.249, 0.668)
Os (0.000, 0.500, 0.000)
Hf (0.500, 0.249, 0.000)
Hf (0.166, 0.751, 0.668)
Os (0.667, 0.000, 0.666)
Os (0.333, 0.000, 0.334)
Hf (0.834, 0.751, 0.332)
Os (0.333, 0.500, 0.334)
Hf (0.500, 0.751, 0.000)

**Energy of formation**: -0.70 eV per atom
**Space-group type**: Cmmm (65)


# 26
A relaxed structure of HfTcOs2, computed with PBE.

Lattice parameters (Å, degrees): 5.855 5.855 6.987 65.23 65.23 90.00
Element x y z (fractional)
Os (0.875, 0.839, 0.750)
Hf (0.000, 0.000, 0.000)
Hf (0.750, 0.250, 0.500)
Os (0.589, 0.125, 0.250)
Tc (0.500, 0.500, 0.000)
Os (0.375, 0.411, 0.750)
Tc (0.250, 0.750, 0.500)
Os (0.161, 0.625, 0.250)

**Energy of formation**: 1.28 eV per atom
**Space-group type**: I-42d (122)
**E above lowest polymorph**: 1.193 eV/atom


# 27
A relaxed structure of Hf4TcOs2, computed with PBE.

Lattice parameters (Å, degrees): 5.596 5.596 5.596 109.99 109.21 109.21
Element x y z (fractional)
Hf (0.500, 0.000, 0.000)
Hf (0.500, 0.500, 0.500)
Os (0.500, 0.000, 0.500)
Tc (0.000, 0.000, 0.000)
Hf (0.000, 0.500, 0.000)
Hf (0.000, 0.000, 0.500)
Os (0.500, 0.500, 0.000)

**Energy of formation**: -0.43 eV per atom
**Space-group type**: I4/mmm (139)


Number 1: calculated total energy -8.06 eV/atom. Number 2: calculated total energy -7.27 eV/atom. Number 3: calculated total energy -6.02 eV/atom. Number 4: calculated total energy -3.65 eV/atom. Number 5: calculated total energy -6.72 eV/atom. Number 6: calculated total energy -10.95 eV/atom. Number 7: calculated total energy -11.60 eV/atom. Number 8: calculated total energy -11.71 eV/atom. Number 9: calculated total energy -11.12 eV/atom. Number 10: calculated total energy -11.02 eV/atom. Number 11: calculated total energy -10.71 eV/atom. Number 12: calculated total energy -11.53 eV/atom. Number 13: calculated total energy -11.20 eV/atom. Number 14: calculated total energy -10.40 eV/atom. Number 15: calculated total energy -11.42 eV/atom. Number 16: calculated total energy -11.12 eV/atom. Number 17: calculated total energy -11.53 eV/atom. Number 18: calculated total energy -9.56 eV/atom. Number 19: calculated total energy -10.40 eV/atom. Number 20: calculated total energy -11.41 eV/atom. Number 21: calculated total energy -9.58 eV/atom. Number 22: calculated total energy -9.62 eV/atom. Number 23: calculated total energy -10.18 eV/atom. Number 24: calculated total energy -7.05 eV/atom. Number 25: calculated total energy -11.22 eV/atom. Number 26: calculated total energy -9.41 eV/atom. Number 27: calculated total energy -10.81 eV/atom.